Below is a relaxed structure of CaEr2Pu, with properties calculated at the PBE level.

Cell: 3.4683 3.4683 12.4777 Å, 82.01 82.01 60.00°
With the nearest neighbours (Å) after each atom.
Atoms (fractional coordinates):
Er (0.9081, 0.9081, 0.2757)  1 Ca 3.40, 3 Pu 3.41, 6 Er 3.47
Pu (0.5000, 0.5000, 0.5000)  6 Er 3.41, 6 Pu 3.47
Er (0.0919, 0.0919, 0.7243)  1 Ca 3.40, 3 Pu 3.41, 6 Er 3.47
Ca (0.0000, 0.0000, 0.0000)  2 Er 3.40, 6 Ca 3.47

Calculated values
ΔE_f (eV per atom): 0.2489
V (Å³ per atom): 32.08
Total energy (eV per atom): -6.116
Energy relative to the lowest polymorph listed for this composition (meV per atom): 109.6
Size of the total moment (μB/f.u.): 5.93
Space group: R-3m